The following is a PBE calculation of a geometry-optimized Ac8As3Se4Br structure, from the Alexandria database.

Cell lengths 9.0245, 9.0245, 22.0122 Å; angles 90.00, 90.00, 120.00 degrees
Space group R-3m (No. 166, hexagonal axes)
One atom of each set of equivalent atoms:
Ac1 0.0000 0.0000 0.2469 [6 per cell]
Ac2 0.0156 0.5078 0.7497 [18 per cell]
As1 0.0000 0.5000 0.5000 [9 per cell]
Se1 0.0000 0.0000 0.0000 [3 per cell]
Se2 0.0000 0.5000 0.0000 [9 per cell]
Br1 0.0000 0.0000 0.5000 [3 per cell]

Properties
Formation energy from raw total energies (kJ per mole of atoms): -162

---

The following is a PBE calculation of a geometry-optimized AlBiI2O structure, from the Alexandria database.

Cell lengths 5.990, 5.990, 3.523 Å; angles 90.00, 90.00, 90.00 degrees
Space group P4/mmm (No. 123)
One atom of each set of equivalent atoms:
Al1 0.000 0.000 0.000 [1 per cell]
Bi1 0.500 0.500 0.500 [1 per cell]
I1 0.000 0.500 0.000 [2 per cell]
O1 0.000 0.000 0.500 [1 per cell]

Properties
Offset from the most stable computed form (eV per atom): 0.000
Formation energy from raw total energies (kJ per mole of atoms): -66

---

The following is a PBE calculation of a geometry-optimized PmMg2Cu structure, from the Alexandria database.

Cell lengths 3.2332, 3.2332, 31.4486 Å; angles 90.00, 90.00, 120.00 degrees
Space group R-3m (No. 166, hexagonal axes)
One atom of each set of equivalent atoms:
Pm1 0.0000 0.0000 0.0000 [3 per cell]
Mg1 0.0000 0.0000 0.1043 [6 per cell]
Cu1 0.0000 0.0000 0.5000 [3 per cell]

Properties
Offset from the most stable computed form (eV per atom): 0.425

---

The following is a PBE calculation of a geometry-optimized PbBrCl2 structure, from the Alexandria database.

Cell lengths 3.554, 3.554, 10.663 Å; angles 90.00, 90.00, 90.00 degrees
Space group P4/mmm (No. 123)
One atom of each set of equivalent atoms:
Pb1 0.000 0.000 0.000 [1 per cell]
Br1 0.000 0.000 0.500 [1 per cell]
Cl1 0.500 0.500 0.158 [2 per cell]

Properties
Offset from the most stable computed form (eV per atom): 0.162
Formation energy from raw total energies (kJ per mole of atoms): -50

---

| no. | calculated density (g cm⁻³) | density of states at the Fermi level (states/eV per cell) |
| --- | --- | --- |
| 1 | 7.82 | 29.048 |
| 2 | 6.64 | 3.362 |
| 3 | 4.50 | 6.536 |
| 4 | 4.41 | 3.575 |